Ta2CdPb GGA-PBEsol relaxed; total moment = 0.00 μB per formula unit; calculated density = 14.5 g/cm3; E_form = 0.47 eV per atom; E = -7.105 eV/atom; space-group type = C2/m, No. 12
1.0
-2.5045 0.9801 1.1902
-2.1393 -3.6739 -3.6178
2.3799 -2.0970 4.5936
Ta Cd Pb
2 1 1
Direct
0.0000 0.5000 0.0000
0.0000 0.0000 0.5000
0.5000 0.0000 0.0000
0.5000 0.5000 0.5000

***

BPt3Pb GGA-PBEsol relaxed; total moment = 0.00 μB per formula unit; energy above the most stable polymorph in this dataset = 0.0 meV per atom; calculated density = 16.7 g/cm3; E_form = 0.00 eV per atom; E = -6.381 eV/atom; space-group type = Pm-3m, No. 221
1.0
4.3078 0.0000 0.0000
0.0000 4.3078 0.0000
0.0000 0.0000 4.3078
Pt B Pb
3 1 1
Direct
0.0000 0.0000 0.5000
0.5000 0.0000 0.0000
0.0000 0.5000 0.0000
0.0000 0.0000 0.0000
0.5000 0.5000 0.5000

***

BaRu2Pt GGA-PBEsol relaxed; total moment = 3.61 μB per formula unit; energy above the most stable polymorph in this dataset = 721.2 meV per atom; calculated density = 12.1 g/cm3; E_form = 0.97 eV per atom; E = -6.393 eV/atom; space-group type = Fm-3m, No. 225
1.0
4.6973 0.0000 0.0000
2.3486 4.0679 0.0000
2.3486 1.3560 3.8353
Ru Ba Pt
2 1 1
Direct
0.7500 0.7500 0.7500
0.2500 0.2500 0.2500
0.0000 0.0000 0.0000
0.5000 0.5000 0.5000

***

CsLaAsBr2 GGA-PBEsol relaxed; total moment = 0.52 μB per formula unit; calculated density = 4.4 g/cm3; uncorrected formation energy = -1260.9 meV/atom; E = -4.288 eV/atom; space-group type = P4/mmm, No. 123
1.0
5.5194 0.0000 0.0000
0.0000 5.8900 0.0000
0.0000 0.0000 5.8900
Br Cs As La
2 1 1 1
Direct
0.0000 0.0000 0.5000
0.0000 0.5000 0.0000
0.5000 0.5000 0.5000
0.5000 0.0000 0.0000
0.0000 0.0000 0.0000

***

NaCr3Te GGA-PBEsol relaxed; total moment = 13.35 μB per formula unit; calculated density = 3.6 g/cm3; uncorrected formation energy = 1262.3 meV/atom; E = -5.868 eV/atom; space-group type = Pm-3m, No. 221
1.0
5.1974 0.0000 0.0000
0.0000 5.1974 0.0000
0.0000 0.0000 5.1974
Cr Te Na
3 1 1
Direct
0.5000 0.0000 0.0000
0.0000 0.5000 0.0000
0.0000 0.0000 0.5000
0.0000 0.0000 0.0000
0.5000 0.5000 0.5000

***

NaTi2O3 GGA-PBEsol relaxed; total moment = 0.00 μB per formula unit; energy above the most stable polymorph in this dataset = 0.0 meV per atom; calculated density = 4.5 g/cm3; uncorrected formation energy = -2505.3 meV/atom; E = -8.137 eV/atom; space-group type = P-3m1, No. 164
1.0
3.0213 0.0000 0.0000
-1.5106 2.6165 0.0000
0.0000 0.0000 7.7167
Ti O Na
2 3 1
Direct
0.6667 0.3333 0.8526
0.3333 0.6667 0.1474
0.6667 0.3333 0.2939
0.0000 0.0000 0.0000
0.3333 0.6667 0.7061
0.0000 0.0000 0.5000

***

Zr2Ni2Pb GGA-PBEsol relaxed; total moment = 0.00 μB per formula unit; calculated density = 9.1 g/cm3; E_form = -0.19 eV per atom; E = -7.089 eV/atom; space-group type = I4/mmm, No. 139
1.0
-0.0020 -2.4837 2.2558
3.2801 -0.4763 -0.5214
0.0882 6.8728 5.0720
Ni Pb Zr
2 1 2
Direct
0.7500 0.2500 0.5000
0.2500 0.7500 0.5000
0.0000 0.0000 0.0000
0.3706 0.3706 0.7412
0.6294 0.6294 0.2588

***

Sr2SiBi GGA-PBEsol relaxed; total moment = 0.00 μB per formula unit; calculated density = 5.4 g/cm3; uncorrected formation energy = -191.6 meV/atom; E = -3.620 eV/atom; space-group type = I-42d, No. 122
1.0
6.7045 0.0000 0.0000
3.3523 6.1464 0.0000
3.3523 0.0000 6.1464
Si Bi Sr
2 2 4
Direct
0.5000 0.0000 0.0000
0.2500 0.5000 0.5000
0.0000 0.0000 0.0000
0.7500 0.5000 0.5000
0.8750 0.5223 0.9777
0.3750 0.4777 0.0223
0.6027 0.0223 0.5223
0.1473 0.9777 0.4777